# Dy2ThCo6 PBE-GGA optimized geometry
# * crystal system: hexagonal
# * ΔE_f: -0.20 eV/atom
data_Dy2ThCo6
_chemical_formula_sum 'Dy2 Th1 Co6'
_space_group_name_H-M_alt 'P 6/m m m'
_space_group_IT_number 191
_space_group_name_Hall '-P 6 2'
_cell_length_a 6.7329
_cell_length_b 6.7329
_cell_length_c 4.0093
_cell_angle_alpha 90.00
_cell_angle_beta 90.00
_cell_angle_gamma 120.00
loop_
_atom_site_label
_atom_site_fract_x
_atom_site_fract_y
_atom_site_fract_z
_atom_site_occupancy
Dy1 0.3333 0.6667 0.0000 1
Th1 0.0000 0.0000 0.0000 1
Co1 0.0000 0.3345 0.5000 1

# Pr2DyHf PBE-GGA optimized geometry
# * crystal system: trigonal
# * energy above the lowest structure with this stoichiometry: 0.205 eV per atom
# * ΔE_f: 0.39 eV/atom
data_Pr2DyHf
_chemical_formula_sum 'Pr6 Dy3 Hf3'
_space_group_name_H-M_alt 'R -3 m'
_space_group_IT_number 166
_space_group_name_Hall '-R 3 2"'
_cell_length_a 3.3995
_cell_length_b 3.3995
_cell_length_c 36.9075
_cell_angle_alpha 90.00
_cell_angle_beta 90.00
_cell_angle_gamma 120.00
loop_
_atom_site_label
_atom_site_fract_x
_atom_site_fract_y
_atom_site_fract_z
_atom_site_occupancy
Pr1 0.0000 0.0000 0.0850 1
Dy1 0.0000 0.0000 0.5000 1
Hf1 0.0000 0.0000 0.0000 1

# Pm6GePt2Se3 PBE-GGA optimized geometry
# * crystal system: monoclinic
# * formation energy (no corrections): -1.415 eV per atom
data_Pm6GePt2Se3
_chemical_formula_sum 'Pm12 Ge2 Pt4 Se6'
_space_group_name_H-M_alt 'C 1 2/m 1'
_space_group_IT_number 12
_cell_length_a 18.725
_cell_length_b 4.161
_cell_length_c 8.608
_cell_angle_alpha 90.00
_cell_angle_beta 106.27
_cell_angle_gamma 90.00
loop_
_space_group_symop_operation_xyz
'x,y,z'
'-x,-y,-z'
'-x,y,-z'
'x,-y,z'
'x+1/2,y+1/2,z'
'-x+1/2,-y+1/2,-z'
'-x+1/2,y+1/2,-z'
'x+1/2,-y+1/2,z'
loop_
_atom_site_label
_atom_site_fract_x
_atom_site_fract_y
_atom_site_fract_z
_atom_site_occupancy
Pm1 0.002 0.000 0.247 1
Pm2 0.165 0.500 0.093 1
Pm3 0.171 0.500 0.573 1
Ge1 0.000 0.500 0.000 1
Pt1 0.167 0.000 0.333 1
Se1 0.000 0.500 0.500 1
Se2 0.165 0.000 0.835 1

# PmErSnIr PBE-GGA optimized geometry
# * crystal system: cubic
# * ΔE_f: -0.56 eV/atom
data_PmErSnIr
_chemical_formula_sum 'Pm4 Er4 Sn4 Ir4'
_space_group_name_H-M_alt 'F -4 3 m'
_space_group_IT_number 216
_space_group_name_Hall 'F -4 2 3'
_cell_length_a 7.265
_cell_length_b 7.265
_cell_length_c 7.265
_cell_angle_alpha 90.00
_cell_angle_beta 90.00
_cell_angle_gamma 90.00
loop_
_atom_site_label
_atom_site_fract_x
_atom_site_fract_y
_atom_site_fract_z
_atom_site_occupancy
Pm1 0.000 0.000 0.000 1
Er1 0.000 0.000 0.500 1
Sn1 0.250 0.250 0.250 1
Ir1 0.250 0.250 0.750 1

# Co3Ge2 PBE-GGA optimized geometry
# * crystal system: hexagonal
# * ΔE_f: -0.11 eV/atom
data_Co3Ge2
_chemical_formula_sum 'Co3 Ge2'
_space_group_name_H-M_alt 'P -6 m 2'
_space_group_IT_number 187
_space_group_name_Hall 'P -6 2'
_cell_length_a 3.9261
_cell_length_b 3.9261
_cell_length_c 4.8679
_cell_angle_alpha 90.00
_cell_angle_beta 90.00
_cell_angle_gamma 120.00
loop_
_atom_site_label
_atom_site_fract_x
_atom_site_fract_y
_atom_site_fract_z
_atom_site_occupancy
Co1 0.0000 0.0000 0.0000 1
Co2 0.6667 0.3333 0.2584 1
Ge1 0.0000 0.0000 0.5000 1
Ge2 0.3333 0.6667 0.0000 1

# Li2DyNi9 PBE-GGA optimized geometry
# * crystal system: trigonal
# * ΔE_f: -0.16 eV/atom
data_Li2DyNi9
_chemical_formula_sum 'Li6 Dy3 Ni27'
_space_group_name_H-M_alt 'R -3 m'
_space_group_IT_number 166
_space_group_name_Hall '-R 3 2"'
_cell_length_a 4.8171
_cell_length_b 4.8171
_cell_length_c 23.3889
_cell_angle_alpha 90.00
_cell_angle_beta 90.00
_cell_angle_gamma 120.00
loop_
_atom_site_label
_atom_site_fract_x
_atom_site_fract_y
_atom_site_fract_z
_atom_site_occupancy
Li1 0.0000 0.0000 0.1452 1
Dy1 0.0000 0.0000 0.0000 1
Ni1 0.0000 0.0000 0.3332 1
Ni2 0.0000 0.0000 0.5000 1
Ni3 0.0022 0.5011 0.9151 1

Quick rundown of final energy, same order as above: -6.783; -5.638; -6.053; -6.101; -6.221; -5.198 eV/atom